No. 1
A plane-wave DFT calculation with PBE was carried out for crystalline ScGa2Pt9 at its relaxed geometry.

Summary:
E_form = -0.66 eV per atom
Crystal system = tetragonal

Unit cell a=3.9722 b=3.9722 c=11.8615 alpha=90.00 beta=90.00 gamma=90.00
Last column: nearest neighbours and their distance in Å.
Space group P4/mmm (No. 123)
Inequivalent atoms, fractional coordinates:
Sc 0.0000 0.0000 0.0000 (multiplicity 1)  12 Pt 2.81-2.83
Ga 0.0000 0.0000 0.3361 (multiplicity 2)  12 Pt 2.78-2.81
Pt 0.0000 0.5000 0.1699 (multiplicity 4)  8 Pt 2.79-2.83, 2 Ga 2.80, 2 Sc 2.83
Pt 0.0000 0.5000 0.5000 (multiplicity 2)  4 Ga 2.78, 8 Pt 2.79-2.81
Pt 0.5000 0.5000 0.0000 (multiplicity 1)  4 Sc 2.81, 8 Pt 2.83
Pt 0.5000 0.5000 0.3353 (multiplicity 2)  8 Pt 2.79, 4 Ga 2.81

***

No. 2
A plane-wave DFT calculation with PBE was carried out for crystalline Si2Ni8As at its relaxed geometry.

Summary:
Energy relative to the lowest polymorph listed for this composition = 0.00 eV/f.u.
Formation energy (no corrections) = -0.367 eV/atom
Crystal system = monoclinic

Unit cell a=13.0215 b=3.7414 c=5.5504 alpha=90.00 beta=110.96 gamma=90.00
Last column: nearest neighbours and their distance in Å.
Space group C2/m (No. 12)
Inequivalent atoms, fractional coordinates:
Si 0.1866 0.0000 0.1809 (multiplicity 4)  9 Ni 2.26-2.43
Ni 0.0265 0.0000 0.2596 (multiplicity 4)  1 Si 2.28, 2 As 2.39, 2 Ni 2.48
Ni 0.0976 0.5000 0.9567 (multiplicity 4)  2 Si 2.32, 1 As 2.40, 3 Ni 2.48-2.50
Ni 0.1704 0.5000 0.4389 (multiplicity 4)  3 Si 2.26-2.41, 1 As 2.36, 2 Ni 2.50-2.51
Ni 0.1891 0.0000 0.7740 (multiplicity 4)  3 Si 2.27-2.43, 1 Ni 2.51
As 0.0000 0.5000 0.5000 (multiplicity 2)  8 Ni 2.36-2.40

***

No. 3
A plane-wave DFT calculation with PBE was carried out for crystalline CdTcRh2N at its relaxed geometry.

Summary:
Formation energy (no corrections) = 0.101 eV/atom
Crystal system = tetragonal

Unit cell a=4.1847 b=4.1847 c=4.0221 alpha=90.00 beta=90.00 gamma=90.00
Last column: nearest neighbours and their distance in Å.
Space group P4/mmm (No. 123)
Inequivalent atoms, fractional coordinates:
Cd 0.0000 0.0000 0.0000 (multiplicity 1)  8 Rh 2.90, 4 Tc 2.96
Tc 0.5000 0.5000 0.0000 (multiplicity 1)  2 N 2.01
Rh 0.0000 0.5000 0.5000 (multiplicity 2)  2 N 2.09
N 0.5000 0.5000 0.5000 (multiplicity 1)  2 Tc 2.01, 4 Rh 2.09

***

Table of E_tot (eV per cell), in record order: -74.6 -131.6 -33.8
Table of volume (Å³/atom), in record order: 15.6 11.5 14.1